## LiAcPmPr (PBE)

Data for a relaxed structure of LiAcPmPr.

Cell: 5.813 5.813 5.813 Å, 60.00 60.00 60.00°
Positions (direct):
Pr  0.750  0.750  0.750
Ac  0.250  0.250  0.250
Li  0.500  0.500  0.500
Pm  0.000  0.000  0.000

Values from the calculation:
Energy relative to the elements, eV per atom: 0.1661
ΔE to the lowest computed polymorph, eV per atom: 0.000
Space group: F-43m (216)